No. 1
# PBE Tb2Ce2Tl3, relaxed
# Total DFT energy (no corrections) in eV/atom: -4.2592
# Polymorph energy (0 for the lowest one) in eV per atom: 0.000
# D(E_F) in states/eV per cell: 21.68
# Energy of formation from the pure elements in eV per atom: -0.227
data_Tb2Ce2Tl3
_cell_length_a 4.373
_cell_length_b 24.843
_cell_length_c 3.523
_cell_angle_alpha 90.00
_cell_angle_beta 90.00
_cell_angle_gamma 90.00
_space_group_name_H-M_alt 'C m m m'
_space_group_IT_number 65
_space_group_name_Hall '-C 2 2'
loop_
_atom_site_label
_atom_site_type_symbol
_atom_site_fract_x
_atom_site_fract_y
_atom_site_fract_z
_atom_site_occupancy
Tb1 Tb 0.000 0.072 0.000 1
Ce1 Ce 0.000 0.215 0.000 1
Tl1 Tl 0.000 0.357 0.500 1
Tl2 Tl 0.000 0.500 0.500 1

No. 2
# PBE Y2ZnGa4Au3, relaxed
# Total DFT energy (no corrections) in eV/atom: -4.1931
# D(E_F) in states/eV per cell: 5.36
# Energy of formation from the pure elements in eV per atom: -0.579
data_Y2ZnGa4Au3
_cell_length_a 4.215
_cell_length_b 4.215
_cell_length_c 11.105
_cell_angle_alpha 90.00
_cell_angle_beta 90.00
_cell_angle_gamma 90.00
_space_group_name_H-M_alt 'P -4 m 2'
_space_group_IT_number 115
_space_group_name_Hall 'P -4 -2'
loop_
_atom_site_label
_atom_site_type_symbol
_atom_site_fract_x
_atom_site_fract_y
_atom_site_fract_z
_atom_site_occupancy
Y1 Y 0.000 0.500 0.242 1
Zn1 Zn 0.500 0.500 0.000 1
Ga1 Ga 0.000 0.000 0.500 1
Ga2 Ga 0.000 0.500 0.864 1
Ga3 Ga 0.500 0.500 0.500 1
Au1 Au 0.000 0.000 0.000 1
Au2 Au 0.000 0.500 0.639 1